Compound: SrTl6I8
Source: Alexandria
Functional: PBE
Structure: optimized geometry

Results
The uncorrected formation energy is -0.7976 eV/atom. Its density of states at the Fermi level is 0.00 states/eV/cell.

Geometry as CIF:
```
data_SrTl6I8
_chemical_formula_sum 'Sr1 Tl6 I8'
_space_group_name_H-M_alt 'P -3'
_space_group_IT_number 147
_space_group_name_Hall '-P 3'
_cell_length_a 11.7320
_cell_length_b 11.7320
_cell_length_c 5.4406
_cell_angle_alpha 90.00
_cell_angle_beta 90.00
_cell_angle_gamma 120.00
loop_
_atom_site_label
_atom_site_type_symbol
_atom_site_fract_x
_atom_site_fract_y
_atom_site_fract_z
Sr1 Sr 0.0000 0.0000 0.0000
Tl1 Tl 0.1113 0.6488 0.7556
I1 I 0.0288 0.2788 0.7522
I2 I 0.3333 0.6667 0.2421
```